VASP calculation (GGA-PBE) on a geometry-optimized BeTl2PbCl6 structure.

Cell lengths 7.395, 7.396, 8.765 Å; angles 65.05, 65.06, 60.01 degrees
Sites, in units of the cell vectors:
Be1 0.253 0.253 0.241
Tl1 0.514 0.514 0.459
Tl2 0.030 0.030 0.911
Pb1 0.822 0.822 0.533
Cl1 0.537 0.201 0.241
Cl2 0.201 0.021 0.241
Cl3 0.021 0.536 0.241
Cl4 0.467 0.730 0.716
Cl5 0.730 0.086 0.716
Cl6 0.086 0.467 0.716

Output
Its uncorrected formation energy is -1.16 eV per atom. For the total magnetic moment, the calculation gives 0.000 μB/f.u.

=====

VASP calculation (GGA-PBE) on a geometry-optimized YBePb2Cl structure.

Cell lengths 4.828, 5.637, 4.828 Å; angles 90.00, 90.00, 90.00 degrees
Sites, in units of the cell vectors:
Pb1 0.000 0.000 0.500
Pb2 0.500 0.000 0.000
Y1 0.000 0.500 0.000
Be1 0.000 0.000 0.000
Cl1 0.500 0.500 0.500

Output
Its uncorrected formation energy is -0.07 eV per atom. For the total magnetic moment, the calculation gives 0.000 μB/f.u.

=====

VASP calculation (GGA-PBE) on a geometry-optimized ZrBePb2Cl structure.

Cell lengths 4.897, 5.095, 4.897 Å; angles 90.00, 90.00, 90.00 degrees
Sites, in units of the cell vectors:
Pb1 0.000 0.000 0.500
Pb2 0.500 0.000 0.000
Be1 0.000 0.000 0.000
Zr1 0.000 0.500 0.000
Cl1 0.500 0.500 0.500

Output
Its uncorrected formation energy is 0.30 eV per atom. For the total magnetic moment, the calculation gives 0.000 μB/f.u.

=====

| no. | calculated density (g cm⁻³) | final energy (eV per cell) |
| --- | --- | --- |
| 1 | 3.8 | -34.8 |
| 2 | 6.9 | -19.8 |
| 3 | 7.5 | -20.1 |